# 1
# CsZnOs3

A relaxed CsZnOs3 crystal (GGA-PBEsol, the Alexandria database).

Values from the calculation:
As for the energy: -5.258 eV per atom. The formation energy from the elements is 2.58 eV per atom. As for the density: 12.474 g/cm³.

The structure in POSCAR format:
```
CsZnOs3
1.0
4.678 0.000 0.000
0.000 4.678 0.000
0.000 0.000 4.678
Cs Zn Os
1 1 3
Direct
0.500 0.500 0.500
0.000 0.000 0.000
0.000 0.500 0.000
0.000 0.000 0.500
0.500 0.000 0.000
```

# 2
# CsZr2Os

A relaxed CsZr2Os crystal (GGA-PBEsol, the Alexandria database).

Values from the calculation:
As for the energy: -6.930 eV per atom. The formation energy from the elements is 0.90 eV per atom. As for the density: 10.072 g/cm³.

The structure in POSCAR format:
```
CsZr2Os
1.0
-4.834 0.322 0.757
-2.002 -2.062 3.972
-1.733 2.821 3.617
Cs Os Zr
1 1 2
Direct
0.000 0.000 0.000
0.500 0.500 0.500
0.250 0.250 0.250
0.750 0.750 0.750
```

# 3
# CsP7

A relaxed CsP7 crystal (GGA-PBEsol, the Alexandria database).

Values from the calculation:
As for the energy: -5.355 eV per atom. The formation energy from the elements is -0.17 eV per atom. As for the density: 2.845 g/cm³.

The structure in POSCAR format:
```
CsP7
1.0
9.048 0.000 0.000
0.000 9.607 0.000
0.000 0.000 9.393
Cs P
4 28
Direct
0.213 0.000 0.250
0.787 0.500 0.750
0.787 0.000 0.750
0.213 0.500 0.250
0.443 0.250 0.837
0.557 0.750 0.163
0.443 0.750 0.663
0.557 0.250 0.337
0.161 0.367 0.626
0.839 0.867 0.374
0.161 0.633 0.874
0.839 0.133 0.126
0.839 0.633 0.374
0.161 0.133 0.626
0.839 0.367 0.126
0.161 0.867 0.874
0.254 0.250 0.975
0.746 0.750 0.025
0.254 0.750 0.525
0.746 0.250 0.475
0.083 0.250 0.819
0.917 0.750 0.181
0.083 0.750 0.681
0.917 0.250 0.319
0.395 0.090 0.675
0.605 0.590 0.325
0.395 0.910 0.825
0.605 0.410 0.175
0.605 0.910 0.325
0.395 0.410 0.675
0.605 0.090 0.175
0.395 0.590 0.825
```

| no. | V (Å³ per atom) |
| --- | --- |
| 1 | 20.47 |
| 2 | 20.84 |
| 3 | 25.51 |